1.
{"formula": "Rb4Ac3OsO8", "functional": "PBE-GGA", "state": "relaxed", "lattice_angstrom": [[6.415, -3.701, 0.000], [6.415, 3.701, 0.000], [-4.262, 0.000, 6.612]], "species": ["Rb", "Rb", "Rb", "Rb", "Ac", "Ac", "Ac", "Os", "O", "O", "O", "O", "O", "O", "O", "O"], "fractional_positions": [[0.000, 0.000, 0.000], [0.000, 0.500, 0.000], [0.500, 0.000, 0.000], [0.500, 0.500, 0.000], [0.000, 0.000, 0.500], [0.000, 0.500, 0.500], [0.500, 0.000, 0.500], [0.500, 0.500, 0.500], [0.230, 0.230, 0.692], [0.265, 0.707, 0.676], [0.279, 0.279, 0.311], [0.293, 0.735, 0.324], [0.707, 0.265, 0.676], [0.721, 0.721, 0.689], [0.735, 0.293, 0.324], [0.770, 0.770, 0.308]], "final_energy_ev_per_cell": -98.0, "formation_energy_uncorrected_ev_per_atom": -1.930, "sg": "No. 12"}

2.
{"formula": "RbAcOsO4", "functional": "PBE-GGA", "state": "relaxed", "lattice_angstrom": [[-3.372, 3.934, 4.722], [3.372, -3.934, 4.722], [3.372, 3.934, -4.722]], "species": ["Rb", "Rb", "Ac", "Ac", "Os", "Os", "O", "O", "O", "O", "O", "O", "O", "O"], "fractional_positions": [[0.396, 0.146, 0.250], [0.604, 0.854, 0.750], [0.000, 0.500, 0.500], [0.500, 0.500, 0.000], [0.000, 0.000, 0.500], [0.000, 0.500, 0.000], [0.150, 0.246, 0.904], [0.158, 0.754, 0.404], [0.215, 0.245, 0.531], [0.215, 0.684, 0.969], [0.785, 0.316, 0.031], [0.785, 0.755, 0.469], [0.842, 0.246, 0.596], [0.850, 0.754, 0.096]], "final_energy_ev_per_cell": -96.7, "formation_energy_uncorrected_ev_per_atom": -1.745, "sg": "No. 74"}

3.
{"formula": "Rb3Ac3OsO8", "functional": "PBE-GGA", "state": "relaxed", "lattice_angstrom": [[3.704, 2.138, 6.613], [-3.704, 2.138, 6.613], [0.000, -4.277, 6.613]], "species": ["Rb", "Rb", "Rb", "Ac", "Ac", "Ac", "Os", "O", "O", "O", "O", "O", "O", "O", "O"], "fractional_positions": [[0.000, 0.500, 0.500], [0.500, 0.000, 0.500], [0.500, 0.500, 0.000], [0.000, 0.000, 0.500], [0.000, 0.500, 0.000], [0.500, 0.000, 0.000], [0.500, 0.500, 0.500], [0.230, 0.230, 0.230], [0.269, 0.697, 0.697], [0.303, 0.303, 0.731], [0.303, 0.731, 0.303], [0.697, 0.269, 0.697], [0.697, 0.697, 0.269], [0.731, 0.303, 0.303], [0.770, 0.770, 0.770]], "final_energy_ev_per_cell": -97.9, "formation_energy_uncorrected_ev_per_atom": -2.117, "sg": "No. 166"}

4.
{"formula": "Rb2AcOs3O12", "functional": "PBE-GGA", "state": "relaxed", "lattice_angstrom": [[3.749, 2.164, 5.577], [-3.749, 2.164, 5.577], [0.000, -4.328, 5.577]], "species": ["Rb", "Rb", "Ac", "Os", "Os", "Os", "O", "O", "O", "O", "O", "O", "O", "O", "O", "O", "O", "O"], "fractional_positions": [[0.102, 0.102, 0.102], [0.898, 0.898, 0.898], [0.500, 0.500, 0.500], [0.000, 0.500, 0.500], [0.500, 0.000, 0.500], [0.500, 0.500, 0.000], [0.066, 0.629, 0.629], [0.226, 0.226, 0.602], [0.226, 0.602, 0.226], [0.371, 0.371, 0.934], [0.371, 0.934, 0.371], [0.398, 0.774, 0.774], [0.602, 0.226, 0.226], [0.629, 0.066, 0.629], [0.629, 0.629, 0.066], [0.774, 0.398, 0.774], [0.774, 0.774, 0.398], [0.934, 0.371, 0.371]], "final_energy_ev_per_cell": -125.8, "formation_energy_uncorrected_ev_per_atom": -1.478, "sg": "No. 166"}